No. 1
Computed, not measured: a geometry-optimized Li2ZrBr structure at the PBE level of DFT.

Results
The calculation puts the density of states at the Fermi level at 2.238 states/eV/cell. The crystal system is monoclinic. The value obtained for the energy above the most stable polymorph in this dataset is 0.189 eV/atom. The magnetization is 0.000 μB per cell. As for the formation energy from raw total energies: -0.159 eV/atom.

Lattice parameters (Å, degrees): 5.3437 5.3437 5.6551 113.94 113.94 34.37
Element x y z (fractional)
Li  0.0000  0.0000  0.0000
Li  0.2210  0.2210  0.8166
Zr  0.4091  0.4091  0.4321
Br  0.6733  0.6733  0.4162

No. 2
Computed, not measured: a geometry-optimized Li2ZrBr structure at the PBE level of DFT.

Results
The calculation puts the density of states at the Fermi level at 2.583 states/eV/cell. The crystal system is orthorhombic. The value obtained for the energy above the most stable polymorph in this dataset is 0.252 eV/atom. The magnetization is 0.000 μB per cell. As for the formation energy from raw total energies: -0.096 eV/atom.

Lattice parameters (Å, degrees): 5.9641 5.9641 5.9641 149.62 130.94 58.80
Element x y z (fractional)
Li  0.2205  0.2205  0.0000
Li  0.7795  0.7795  0.0000
Zr  0.5000  0.0000  0.5000
Br  0.0000  0.5000  0.5000

No. 3
Computed, not measured: a geometry-optimized Li2ZrBr structure at the PBE level of DFT.

Results
The calculation puts the density of states at the Fermi level at 2.029 states/eV/cell. The crystal system is tetragonal. The value obtained for the energy above the most stable polymorph in this dataset is 0.370 eV/atom. The magnetization is 0.163 μB per cell. As for the formation energy from raw total energies: 0.022 eV/atom.

Lattice parameters (Å, degrees): 5.5548 5.5548 5.5548 138.53 138.53 60.09
Element x y z (fractional)
Li  0.0000  0.0000  0.0000
Li  0.7500  0.2500  0.5000
Zr  0.2500  0.7500  0.5000
Br  0.5000  0.5000  0.0000

No. 4
Computed, not measured: a geometry-optimized Li2ZrBr structure at the PBE level of DFT.

Results
The calculation puts the density of states at the Fermi level at 3.534 states/eV/cell. The crystal system is tetragonal. The value obtained for the energy above the most stable polymorph in this dataset is 0.142 eV/atom. The magnetization is 0.000 μB per cell. As for the formation energy from raw total energies: -0.207 eV/atom.

Lattice parameters (Å, degrees): 3.3092 3.3092 7.0357 90.00 90.00 90.00
Element x y z (fractional)
Li  0.0000  0.0000  0.0000
Li  0.5000  0.5000  0.2246
Zr  0.0000  0.0000  0.5004
Br  0.5000  0.5000  0.7795

No. 5
Computed, not measured: a geometry-optimized Li2ZrBr structure at the PBE level of DFT.

Results
The calculation puts the density of states at the Fermi level at 2.644 states/eV/cell. The crystal system is orthorhombic. The value obtained for the energy above the most stable polymorph in this dataset is 0.152 eV/atom. The magnetization is 0.000 μB per cell. As for the formation energy from raw total energies: -0.196 eV/atom.

Lattice parameters (Å, degrees): 3.2680 3.2680 9.5436 90.00 90.00 117.24
Element x y z (fractional)
Li  0.0000  0.0000  0.0000
Li  0.5000  0.5000  0.2764
Zr  0.0000  0.0000  0.5517
Br  0.5000  0.5000  0.7922

No. 6
Computed, not measured: a geometry-optimized Li2ZrBr structure at the PBE level of DFT.

Results
The calculation puts the density of states at the Fermi level at 3.830 states/eV/cell. The crystal system is orthorhombic. The value obtained for the energy above the most stable polymorph in this dataset is 0.086 eV/atom. The magnetization is 0.122 μB per cell. As for the formation energy from raw total energies: -0.262 eV/atom.

Lattice parameters (Å, degrees): 3.3700 7.3483 7.3483 25.97 90.00 90.00
Element x y z (fractional)
Li  0.0000  0.0000  0.0000
Li  0.5000  0.3822  0.3822
Zr  0.5000  0.6351  0.6351
Br  0.0000  0.7978  0.7978

No. 7
Computed, not measured: a geometry-optimized Li2ZrBr structure at the PBE level of DFT.

Results
The calculation puts the density of states at the Fermi level at 3.221 states/eV/cell. The crystal system is cubic. The value obtained for the energy above the most stable polymorph in this dataset is 0.581 eV/atom. The magnetization is 0.000 μB per cell. As for the formation energy from raw total energies: 0.232 eV/atom.

Lattice parameters (Å, degrees): 4.7900 4.7900 4.7900 60.00 60.00 60.00
Element x y z (fractional)
Li  0.0000  0.0000  0.0000
Li  0.2500  0.2500  0.2500
Zr  0.7500  0.7500  0.7500
Br  0.5000  0.5000  0.5000

No. 8
Computed, not measured: a geometry-optimized LiZrBr5 structure at the PBE level of DFT.

Results
The calculation puts the density of states at the Fermi level at 0.000 states/eV/cell. The crystal system is monoclinic. The magnetization is 0.000 μB per cell. As for the formation energy from raw total energies: -1.363 eV/atom.

Lattice parameters (Å, degrees): 7.4514 7.4514 10.2619 110.39 110.39 90.21
Element x y z (fractional)
Li  0.1262  0.8738  0.7500
Li  0.8738  0.1262  0.2500
Zr  0.0000  0.5000  0.0000
Zr  0.5000  0.0000  0.5000
Br  0.1602  0.1848  0.9687
Br  0.1659  0.5848  0.8373
Br  0.1848  0.1602  0.4687
Br  0.3274  0.6726  0.2500
Br  0.4152  0.8341  0.6627
Br  0.5848  0.1659  0.3373
Br  0.6726  0.3274  0.7500
Br  0.8152  0.8398  0.5313
Br  0.8341  0.4152  0.1627
Br  0.8398  0.8152  0.0313